An optimized crystal structure of CdCl2. Source: the Open Quantum Materials Database, functional PBE-GGA.

- total DFT energy (no corrections) (eV/atom) = -2.6118

abc: 6.2461 6.2461 6.2461
angles: 36.09 36.09 36.09
Element x y z (fractional)
Cd: 0.0000 0.0000 0.0000
Cl: 0.2501 0.2501 0.2501
Cl: 0.7499 0.7499 0.7499